TbPmYSc: relaxed, PBE-GGA.

abc: 3.7956 5.6366 6.7120
angles: 114.83 73.56 90.00
Closest atoms and distances in Å follow each position.
Fractional coordinates of all 4 atoms:
Y 0.4231 0.1384 0.2768  4 Sc 3.40, 2 Tb 3.64-3.65, 2 Pm 3.71-3.72, 2 Y 3.80
Tb 0.1939 0.8693 0.7386  2 Sc 3.24, 4 Pm 3.44
Pm 0.6491 0.4142 0.8284  2 Sc 3.25-3.26, 4 Tb 3.44
Sc 0.9198 0.6428 0.2855  2 Tb 3.24, 2 Pm 3.25-3.26, 4 Y 3.40

- V: 30.96 Å³/atom
- Spin magnetization: 0.00 μB/cell
- SG: Cm, No. 8
- Energy relative to the elements: 0.109 eV per atom
- Electronic total energy: -5.4352 eV per atom
- Distance to the lowest polymorph of the same formula: 0 meV/atom

Tb5PmYSc2: relaxed, PBE-GGA.

abc: 5.6117 11.1677 9.3454
angles: 90.00 90.00 104.55
Closest atoms and distances in Å follow each position.
Fractional coordinates of all 18 atoms:
Tb 0.5320 0.0639 0.2485  2 Y 3.22-3.39, 5 Tb 3.23-3.58, 2 Sc 3.39
Tb 0.3072 0.6144 0.7194  2 Pm 3.38, 5 Tb 3.38-3.72, 3 Sc 3.44-3.64, 1 Y 3.49
Tb 0.3919 0.7837 0.0461  4 Sc 3.21-3.49, 3 Tb 3.23-3.57, 1 Y 3.49
Tb 0.7349 0.4698 0.8336  1 Y 3.08, 1 Sc 3.28, 2 Tb 3.38, 1 Pm 3.42
Tb 0.6081 0.2163 0.5461  4 Sc 3.21-3.49, 3 Tb 3.23-3.57, 1 Y 3.49
Tb 0.0085 0.0170 0.0161  1 Sc 3.18, 2 Y 3.52
Tb 0.6928 0.3856 0.2194  2 Pm 3.38, 5 Tb 3.38-3.72, 3 Sc 3.44-3.64, 1 Y 3.49
Tb 0.4680 0.9361 0.7485  2 Y 3.22-3.39, 5 Tb 3.23-3.58, 2 Sc 3.39
Tb 0.2651 0.5302 0.3336  1 Y 3.08, 1 Sc 3.28, 2 Tb 3.38, 1 Pm 3.42
Tb 0.9915 0.9830 0.5161  1 Sc 3.18, 2 Y 3.52
Pm 0.8152 0.6304 0.5187  2 Sc 3.16-3.25, 5 Tb 3.38-3.47, 2 Y 3.51
Pm 0.1848 0.3696 0.0187  2 Sc 3.16-3.25, 5 Tb 3.38-3.47, 2 Y 3.51
Y 0.4026 0.8052 0.4185  3 Tb 3.08-3.39
Y 0.5974 0.1948 0.9185  3 Tb 3.08-3.39
Sc 0.8611 0.7222 0.1978  1 Pm 3.16, 2 Tb 3.21, 1 Sc 3.53
Sc 0.8867 0.7734 0.8252  8 Tb 3.18-3.49, 1 Pm 3.25, 1 Sc 3.53
Sc 0.1133 0.2266 0.3252  8 Tb 3.18-3.49, 1 Pm 3.25, 1 Sc 3.53
Sc 0.1389 0.2778 0.6978  1 Pm 3.16, 2 Tb 3.21, 1 Sc 3.53

- V: 31.49 Å³/atom
- Spin magnetization: 0.00 μB/cell
- SG: Cmc2_1, No. 36
- Energy relative to the elements: 0.171 eV per atom
- Electronic total energy: -5.0548 eV per atom

Tb2PmY4Sc: relaxed, PBE-GGA.

abc: 9.4285 9.4285 11.7113
angles: 128.39 128.39 88.31
Closest atoms and distances in Å follow each position.
Fractional coordinates of all 16 atoms:
Y 0.7492 0.7508 0.9882  2 Sc 3.26, 3 Tb 3.28-3.50, 1 Pm 3.30, 2 Y 3.39
Y 0.7600 0.2384 0.9991  1 Sc 3.14, 2 Y 3.38-3.40, 3 Tb 3.38-3.43, 2 Pm 3.39
Y 0.7492 0.7508 0.5118  2 Sc 3.26, 3 Tb 3.28-3.50, 1 Pm 3.30, 2 Y 3.39
Y 0.2508 0.2493 0.4882  2 Sc 3.26, 3 Tb 3.28-3.50, 1 Pm 3.30, 2 Y 3.39
Y 0.2507 0.2492 0.0118  2 Sc 3.26, 3 Tb 3.28-3.50, 1 Pm 3.30, 2 Y 3.39
Y 0.7384 0.2600 0.4991  1 Sc 3.14, 2 Y 3.38-3.40, 3 Tb 3.38-3.43, 2 Pm 3.39
Y 0.2616 0.7400 0.5009  1 Sc 3.14, 2 Y 3.38-3.40, 3 Tb 3.38-3.43, 2 Pm 3.39
Y 0.2400 0.7616 0.0009  1 Sc 3.14, 2 Y 3.38-3.40, 3 Tb 3.38-3.43, 2 Pm 3.39
Sc 0.5000 0.5000 0.5000  6 Y 3.14-3.26, 2 Sc 3.39
Sc 0.0000 0.0000 0.0000  6 Y 3.14-3.26, 2 Sc 3.39
Tb 0.0000 0.0000 0.5000  2 Tb 3.39, 6 Y 3.43-3.50
Tb 0.5000 0.0000 0.5000  6 Y 3.28-3.38, 2 Pm 3.39
Tb 0.5000 0.0000 0.0000  6 Y 3.28-3.38, 2 Pm 3.39
Tb 0.5000 0.5000 0.0000  2 Tb 3.39, 6 Y 3.43-3.50
Pm 0.0000 0.5000 0.5000  6 Y 3.30-3.39, 2 Tb 3.39
Pm 0.0000 0.5000 0.0000  6 Y 3.30-3.39, 2 Tb 3.39

- V: 32.56 Å³/atom
- Spin magnetization: 7.27 μB/cell
- SG: Imma, No. 74
- Energy relative to the elements: 0.434 eV per atom
- Electronic total energy: -5.3405 eV per atom

Tb2Pm3Y6Sc: relaxed, PBE-GGA.

abc: 6.1773 6.1773 11.7952
angles: 95.00 95.00 119.98
Closest atoms and distances in Å follow each position.
Fractional coordinates of all 12 atoms:
Y 0.9188 0.5880 0.7547  1 Sc 3.51, 2 Tb 3.52, 6 Y 3.54-3.58, 3 Pm 3.60-3.62
Y 0.4120 0.0812 0.2453  1 Sc 3.51, 2 Tb 3.52, 6 Y 3.54-3.58, 3 Pm 3.60-3.62
Y 0.5880 0.9188 0.7547  1 Sc 3.51, 2 Tb 3.52, 6 Y 3.54-3.58, 3 Pm 3.60-3.62
Y 0.2496 0.2496 0.7546  1 Sc 3.51, 2 Tb 3.52, 6 Y 3.54-3.58, 3 Pm 3.60-3.61
Y 0.7504 0.7504 0.2454  1 Sc 3.51, 2 Tb 3.52, 6 Y 3.54-3.58, 3 Pm 3.60-3.61
Y 0.0812 0.4120 0.2453  1 Sc 3.51, 2 Tb 3.52, 6 Y 3.54-3.58, 3 Pm 3.60-3.62
Sc 0.0000 0.0000 0.0000  6 Y 3.51, 6 Tb 3.57
Tb 0.3335 0.6665 0.0000  6 Y 3.52, 3 Tb 3.56-3.57, 3 Sc 3.57
Tb 0.6665 0.3335 0.0000  6 Y 3.52, 3 Tb 3.56-3.57, 3 Sc 3.57
Pm 0.5000 0.5000 0.5000  6 Pm 3.57, 6 Y 3.60-3.61
Pm 0.1665 0.8335 0.5000  6 Pm 3.56-3.57, 6 Y 3.60-3.62
Pm 0.8335 0.1665 0.5000  6 Pm 3.56-3.57, 6 Y 3.60-3.62

- V: 31.99 Å³/atom
- Spin magnetization: 0.00 μB/cell
- SG: C2/m, No. 12
- Energy relative to the elements: 0.029 eV per atom
- Electronic total energy: -5.6901 eV per atom